Record 1
A plane-wave DFT calculation with SCAN was carried out for a PBEsol-optimized structure of CaTa2P.

abc: 3.238 4.798 4.798
angles: 107.79 90.00 90.00
Atoms (fractional coordinates):
Ca 0.500 0.000 0.000
P 0.500 0.500 0.500
Ta 0.000 0.500 0.000
Ta 0.000 0.000 0.500

Results
Total magnetic moment = 0.0 μB per cell
Energy of formation from the pure elements = 0.641 eV per atom
Excess energy over the best structure of this formula in the dataset = 60.6 kJ/mol of atoms
Volume = 71 Å³/cell
E_tot = -37.667 eV/atom
Space-group type = Cmmm (65)

Record 2
A plane-wave DFT calculation with SCAN was carried out for a PBEsol-optimized structure of ScInAg2.

abc: 4.682 4.742 4.682
angles: 60.42 90.00 119.58
Atoms (fractional coordinates):
Sc 0.250 0.500 0.250
Ag 0.000 0.000 0.000
Ag 0.750 0.500 0.750
In 0.500 0.000 0.500

Results
Total magnetic moment = 0.0 μB per cell
Energy of formation from the pure elements = -0.278 eV per atom
Volume = 74 Å³/cell
E_tot = -27.867 eV/atom
Space-group type = I-4m2 (119)

Record 3
A plane-wave DFT calculation with SCAN was carried out for a PBEsol-optimized structure of Li3PF.

abc: 4.654 4.654 4.654
angles: 90.00 90.00 90.00
Atoms (fractional coordinates):
P 0.000 0.000 0.000
Li 0.000 0.500 0.000
Li 0.000 0.000 0.500
Li 0.500 0.000 0.000
F 0.500 0.500 0.500

Results
Total magnetic moment = 1.0 μB per cell
Excess energy over the best structure of this formula in the dataset = 72.8 kJ/mol of atoms
Volume = 101 Å³/cell
Energy relative to the elements, uncorrected = -3.7 eV/f.u.
E_tot = -4.970 eV/atom
Space-group type = Pm-3m (221)

Record 4
A plane-wave DFT calculation with SCAN was carried out for a PBEsol-optimized structure of CsTl2P2.

abc: 5.011 5.011 6.656
angles: 112.11 112.11 90.00
Atoms (fractional coordinates):
Cs 0.000 0.000 0.000
P 0.406 0.406 0.811
P 0.594 0.594 0.189
Tl 0.250 0.750 0.500
Tl 0.750 0.250 0.500

Results
Total magnetic moment = 0.0 μB per cell
Energy of formation from the pure elements = -0.152 eV per atom
Excess energy over the best structure of this formula in the dataset = 0.0 kJ/mol of atoms
Volume = 141 Å³/cell
E_tot = -40.816 eV/atom
Space-group type = I4/mmm (139)

Record 5
A plane-wave DFT calculation with SCAN was carried out for a PBEsol-optimized structure of CsZn2GePb.

abc: 5.615 5.568 5.568
angles: 90.00 90.00 90.00
Atoms (fractional coordinates):
Pb 0.000 0.000 0.000
Cs 0.500 0.500 0.500
Ge 0.500 0.000 0.000
Zn 0.000 0.000 0.500
Zn 0.000 0.500 0.000

Results
Total magnetic moment = 0.8 μB per cell
Energy of formation from the pure elements = 0.445 eV per atom
Volume = 174 Å³/cell
E_tot = -31.497 eV/atom
Space-group type = P4/mmm (123)

Record 6
A plane-wave DFT calculation with SCAN was carried out for a PBEsol-optimized structure of ScZn2Os.

abc: 3.859 3.859 4.807
angles: 113.67 113.67 90.00
Atoms (fractional coordinates):
Sc 0.000 0.000 0.000
Zn 0.750 0.250 0.500
Zn 0.250 0.750 0.500
Os 0.500 0.500 0.000

Results
Total magnetic moment = 0.0 μB per cell
Energy of formation from the pure elements = -0.367 eV per atom
Excess energy over the best structure of this formula in the dataset = 0.0 kJ/mol of atoms
Volume = 59 Å³/cell
E_tot = -28.654 eV/atom
Space-group type = I4/mmm (139)

Record 7
A plane-wave DFT calculation with SCAN was carried out for a PBEsol-optimized structure of CaAgSe2.

abc: 6.182 6.182 6.182
angles: 117.47 105.63 105.63
Atoms (fractional coordinates):
Ca 0.000 0.500 0.500
Ca 0.500 0.250 0.750
Se 0.029 0.654 0.125
Se 0.971 0.096 0.625
Se 0.471 0.375 0.346
Se 0.529 0.875 0.904
Ag 0.000 0.000 0.000
Ag 0.500 0.750 0.250

Results
Total magnetic moment = 0.0 μB per cell
Volume = 179 Å³/cell
Energy relative to the elements, uncorrected = -3.7 eV/f.u.
E_tot = -21.220 eV/atom
Space-group type = I-42d (122)

Record 8
A plane-wave DFT calculation with SCAN was carried out for a PBEsol-optimized structure of BePtAu2.

abc: 3.697 3.697 9.684
angles: 101.01 101.01 90.00
Atoms (fractional coordinates):
Be 0.750 0.250 0.500
Be 0.500 0.500 0.000
Au 0.379 0.875 0.250
Au 0.871 0.375 0.250
Au 0.125 0.129 0.750
Au 0.625 0.621 0.750
Pt 0.250 0.750 0.500
Pt 0.000 0.000 0.000

Results
Total magnetic moment = 0.0 μB per cell
Energy of formation from the pure elements = 0.098 eV per atom
Volume = 127 Å³/cell
E_tot = -53.117 eV/atom
Space-group type = I-42d (122)